No. 1
## Er2MoOs3 (PBE)

Data for a geometry-optimized Er2MoOs3 structure.

Calculated volume: 219 Å³/cell
Space-group type: P6_3/mmc (194)
E_form: -0.31 eV per atom

Lattice parameters (Å, degrees): 5.4483 5.4483 8.5242 90.00 90.00 120.00
Last column: nearest neighbours and their distance in Å.
Sites, in units of the cell vectors:
Er  0.3333  0.6667  0.0654  9 Os 3.09-3.15, 4 Er 3.15-3.34, 3 Mo 3.19
Er  0.3333  0.6667  0.4346  9 Os 3.09-3.15, 4 Er 3.15-3.34, 3 Mo 3.19
Er  0.6667  0.3333  0.5654  9 Os 3.09-3.15, 4 Er 3.15-3.34, 3 Mo 3.19
Er  0.6667  0.3333  0.9346  9 Os 3.09-3.15, 4 Er 3.15-3.34, 3 Mo 3.19
Mo  0.0000  0.0000  0.0000  6 Os 2.68
Mo  0.0000  0.0000  0.5000  6 Os 2.68
Os  0.1729  0.3458  0.7500  4 Os 2.62-2.83, 2 Mo 2.68
Os  0.1729  0.8271  0.7500  4 Os 2.62-2.83, 2 Mo 2.68
Os  0.3458  0.1729  0.2500  4 Os 2.62-2.83, 2 Mo 2.68
Os  0.6542  0.8271  0.7500  4 Os 2.62-2.83, 2 Mo 2.68
Os  0.8271  0.1729  0.2500  4 Os 2.62-2.83, 2 Mo 2.68
Os  0.8271  0.6542  0.2500  4 Os 2.62-2.83, 2 Mo 2.68



No. 2
## ErPaMoOs (PBE)

Data for a geometry-optimized ErPaMoOs structure.

Calculated volume: 81 Å³/cell
Space-group type: F-43m (216)
E_form: -0.06 eV per atom

Lattice parameters (Å, degrees): 4.8521 4.8521 4.8521 60.00 60.00 60.00
Last column: nearest neighbours and their distance in Å.
Sites, in units of the cell vectors:
Er  0.0000  0.0000  0.0000  4 Mo 2.97, 4 Os 2.97
Pa  0.5000  0.5000  0.5000  4 Mo 2.97, 4 Os 2.97
Mo  0.7500  0.7500  0.7500  4 Pa 2.97, 4 Er 2.97
Os  0.2500  0.2500  0.2500  4 Pa 2.97, 4 Er 2.97



No. 3
## ErSi2MoOs (PBE)

Data for a geometry-optimized ErSi2MoOs structure.

Calculated volume: 86 Å³/cell
Space-group type: I-4m2 (119)
E_form (uncorrected): -0.530 eV/atom

Lattice parameters (Å, degrees): 5.9004 5.9004 5.9004 139.47 139.47 58.66
Last column: nearest neighbours and their distance in Å.
Sites, in units of the cell vectors:
Er  0.0000  0.0000  0.0000  8 Si 3.13, 4 Mo 3.29, 4 Os 3.29
Si  0.3829  0.3829  0.0000  1 Si 2.41, 2 Mo 2.46, 2 Os 2.46
Si  0.6171  0.6171  0.0000  1 Si 2.41, 2 Mo 2.46, 2 Os 2.46
Mo  0.2500  0.7500  0.5000  4 Si 2.46
Os  0.7500  0.2500  0.5000  4 Si 2.46



Please write out number 2 again, unchanged.
## ErPaMoOs (PBE)

Data for a geometry-optimized ErPaMoOs structure.

Calculated volume: 81 Å³/cell
Space-group type: F-43m (216)
E_form: -0.06 eV per atom

Lattice parameters (Å, degrees): 4.8521 4.8521 4.8521 60.00 60.00 60.00
Last column: nearest neighbours and their distance in Å.
Sites, in units of the cell vectors:
Er  0.0000  0.0000  0.0000  4 Mo 2.97, 4 Os 2.97
Pa  0.5000  0.5000  0.5000  4 Mo 2.97, 4 Os 2.97
Mo  0.7500  0.7500  0.7500  4 Pa 2.97, 4 Er 2.97
Os  0.2500  0.2500  0.2500  4 Pa 2.97, 4 Er 2.97



> What is the calculated volume in the second record?

81 Å³/cell



> What is the calculated volume in the third record?

86 Å³/cell